Entry 1:
TbDyTeSe2: relaxed, PBE. Values from VASP.

The structure in Quantum ESPRESSO input format:
```
&SYSTEM
  ibrav = 0, nat = 5, ntyp = 4
/
ATOMIC_SPECIES
Tb 158.93 Tb.upf
Dy 162.50 Dy.upf
Te 127.60 Te.upf
Se 78.96 Se.upf
CELL_PARAMETERS angstrom
4.634 0.000 0.000
0.000 4.634 0.000
-2.317 -2.317 7.032
ATOMIC_POSITIONS crystal
Tb 0.139 0.139 0.278
Dy 0.860 0.860 0.720
Te 0.500 0.500 0.000
Se 0.750 0.250 0.501
Se 0.250 0.750 0.501
```

Properties
symmetry: No. 107
energy relative to the elements, uncorrected: -1.332 eV/atom
magnetic moment: 0.00 μB/f.u.
final energy: -5.2004 eV per atom

Entry 2:
TbDyTh2Se4: relaxed, PBE. Values from VASP.

The structure in Quantum ESPRESSO input format:
```
&SYSTEM
  ibrav = 0, nat = 8, ntyp = 4
/
ATOMIC_SPECIES
Tb 158.93 Tb.upf
Dy 162.50 Dy.upf
Th 232.04 Th.upf
Se 78.96 Se.upf
CELL_PARAMETERS angstrom
4.075 0.000 0.000
0.000 7.462 -0.295
0.000 2.480 6.524
ATOMIC_POSITIONS crystal
Tb 0.500 0.500 0.000
Dy 0.000 0.500 0.500
Th 0.000 0.000 0.000
Th 0.500 0.000 0.500
Se 0.000 0.735 0.754
Se 0.000 0.265 0.246
Se 0.500 0.734 0.256
Se 0.500 0.266 0.744
```

Properties
symmetry: No. 10
energy relative to the elements, uncorrected: -1.642 eV/atom
magnetic moment: 0.00 μB/f.u.
final energy: -6.3932 eV per atom

Entry 3:
TbDy2Th3Se6: relaxed, PBE. Values from VASP.

The structure in Quantum ESPRESSO input format:
```
&SYSTEM
  ibrav = 0, nat = 12, ntyp = 4
/
ATOMIC_SPECIES
Tb 158.93 Tb.upf
Dy 162.50 Dy.upf
Th 232.04 Th.upf
Se 78.96 Se.upf
CELL_PARAMETERS angstrom
-6.326 -0.833 -2.735
4.472 -5.309 -0.008
-1.886 -0.090 7.320
ATOMIC_POSITIONS crystal
Tb 0.000 0.000 0.000
Dy 0.333 0.667 0.000
Dy 0.667 0.333 0.000
Th 0.166 0.834 0.500
Th 0.834 0.166 0.500
Th 0.500 0.500 0.500
Se 0.922 0.587 0.766
Se 0.743 0.743 0.233
Se 0.078 0.413 0.234
Se 0.587 0.922 0.766
Se 0.257 0.257 0.767
Se 0.413 0.078 0.234
```

Properties
symmetry: No. 12
energy relative to the elements, uncorrected: -1.641 eV/atom
magnetic moment: 0.00 μB/f.u.
final energy: -6.3911 eV per atom